No. 1
Crystalline CrTe2Br at its relaxed geometry, computed with GGA-PBE.

Calculated values
Its theoretical density is 5.24 g/cm³. Its energy is -55.0 eV for the cell shown. The formation energy without anion corrections comes out at -0.19 eV/atom.

```
CrTe2Br
1.0
4.129 0.000 0.000
-2.065 3.576 0.000
0.000 0.000 24.920
Cr Te Br
3 6 3
Direct
0.000 0.000 0.000
0.333 0.667 0.667
0.667 0.333 0.333
0.000 0.000 0.388
0.000 0.000 0.612
0.333 0.667 0.054
0.333 0.667 0.279
0.667 0.333 0.721
0.667 0.333 0.946
0.000 0.000 0.500
0.333 0.667 0.167
0.667 0.333 0.833
```


No. 2
Crystalline Cr2TeBr at its relaxed geometry, computed with GGA-PBE.

Calculated values
Its theoretical density is 4.25 g/cm³. Its energy is -94.4 eV for the cell shown. The formation energy without anion corrections comes out at 0.11 eV/atom.

```
Cr2TeBr
1.0
6.325 0.000 0.000
0.000 6.325 0.000
0.000 0.000 12.156
Cr Te Br
8 4 4
Direct
0.248 0.250 0.125
0.250 0.748 0.375
0.250 0.752 0.875
0.252 0.250 0.625
0.748 0.750 0.625
0.750 0.248 0.875
0.750 0.252 0.375
0.752 0.750 0.125
0.000 0.000 0.000
0.000 0.500 0.250
0.500 0.000 0.750
0.500 0.500 0.500
0.000 0.000 0.500
0.000 0.500 0.750
0.500 0.000 0.250
0.500 0.500 0.000
```


No. 3
Crystalline CrTe2Br at its relaxed geometry, computed with GGA-PBE.

Calculated values
Its theoretical density is 4.89 g/cm³. Its energy is -36.7 eV for the cell shown. The formation energy without anion corrections comes out at -0.19 eV/atom.

```
CrTe2Br
1.0
12.424 0.000 0.000
0.000 3.646 0.000
-1.825 0.000 5.809
Cr Te Br
2 4 2
Direct
0.000 0.000 0.000
0.500 0.500 0.000
0.039 0.500 0.351
0.170 0.500 0.054
0.539 0.000 0.351
0.670 0.000 0.054
0.372 0.000 0.748
0.872 0.500 0.748
```


No. 4
Crystalline Cr2TeBr at its relaxed geometry, computed with GGA-PBE.

Calculated values
Its theoretical density is 4.77 g/cm³. Its energy is -46.0 eV for the cell shown. The formation energy without anion corrections comes out at 0.26 eV/atom.

```
Cr2TeBr
1.0
3.962 0.000 0.000
0.000 7.137 0.000
0.000 0.000 7.666
Cr Te Br
4 2 2
Direct
0.000 0.000 0.244
0.000 0.000 0.756
0.500 0.500 0.244
0.500 0.500 0.756
0.000 0.500 0.000
0.500 0.000 0.000
0.000 0.500 0.500
0.500 0.000 0.500
```


No. 5
Crystalline Cr2TeBr at its relaxed geometry, computed with GGA-PBE.

Calculated values
Its theoretical density is 5.74 g/cm³. Its energy is -23.4 eV for the cell shown. The formation energy without anion corrections comes out at 0.17 eV/atom.

```
Cr2TeBr
1.0
3.511 0.000 0.000
0.000 3.511 0.000
0.000 0.000 7.310
Cr Te Br
2 1 1
Direct
0.000 0.000 0.000
0.500 0.500 0.215
0.000 0.000 0.371
0.500 0.500 0.855
```


No. 6
Crystalline Cr2TeBr at its relaxed geometry, computed with GGA-PBE.

Calculated values
Its theoretical density is 7.96 g/cm³. Its energy is -83.7 eV for the cell shown. The formation energy without anion corrections comes out at 0.79 eV/atom.

```
Cr2TeBr
1.0
6.383 0.000 0.000
0.000 6.383 0.000
0.000 0.000 6.383
Cr Te Br
8 4 4
Direct
0.250 0.250 0.250
0.250 0.250 0.750
0.250 0.750 0.250
0.250 0.750 0.750
0.750 0.250 0.250
0.750 0.250 0.750
0.750 0.750 0.250
0.750 0.750 0.750
0.000 0.000 0.000
0.000 0.500 0.500
0.500 0.000 0.500
0.500 0.500 0.000
0.000 0.000 0.500
0.000 0.500 0.000
0.500 0.000 0.000
0.500 0.500 0.500
```


No. 7
Crystalline Cr2TeBr at its relaxed geometry, computed with GGA-PBE.

Calculated values
Its theoretical density is 5.53 g/cm³. Its energy is -84.4 eV for the cell shown. The formation energy without anion corrections comes out at 0.74 eV/atom.

```
Cr2TeBr
1.0
7.207 0.000 0.000
0.000 7.207 0.000
0.000 0.000 7.207
Cr Te Br
8 4 4
Direct
0.000 0.000 0.000
0.000 0.500 0.500
0.250 0.250 0.250
0.250 0.750 0.750
0.500 0.000 0.500
0.500 0.500 0.000
0.750 0.250 0.750
0.750 0.750 0.250
0.250 0.250 0.750
0.250 0.750 0.250
0.750 0.250 0.250
0.750 0.750 0.750
0.000 0.000 0.500
0.000 0.500 0.000
0.500 0.000 0.000
0.500 0.500 0.500
```


No. 8
Crystalline CrTe2Br at its relaxed geometry, computed with GGA-PBE.

Calculated values
Its theoretical density is 4.62 g/cm³. Its energy is -68.1 eV for the cell shown. The formation energy without anion corrections comes out at 0.14 eV/atom.

```
CrTe2Br
1.0
6.980 0.000 0.000
0.000 6.980 0.000
0.000 0.000 11.411
Cr Te Br
4 8 4
Direct
0.000 0.000 0.000
0.000 0.500 0.250
0.500 0.000 0.750
0.500 0.500 0.500
0.160 0.250 0.125
0.250 0.660 0.375
0.250 0.840 0.875
0.340 0.250 0.625
0.660 0.750 0.625
0.750 0.160 0.875
0.750 0.340 0.375
0.840 0.750 0.125
0.000 0.000 0.500
0.000 0.500 0.750
0.500 0.000 0.250
0.500 0.500 0.000
```


No. 9
Crystalline Cr2TeBr at its relaxed geometry, computed with GGA-PBE.

Calculated values
Its theoretical density is 5.64 g/cm³. Its energy is -22.9 eV for the cell shown. The formation energy without anion corrections comes out at 0.29 eV/atom.

```
Cr2TeBr
1.0
3.557 0.000 0.000
0.000 3.557 0.000
0.000 0.000 7.245
Cr Te Br
2 1 1
Direct
0.000 0.000 0.222
0.000 0.000 0.778
0.500 0.500 0.000
0.500 0.500 0.500
```


No. 10
Crystalline Cr2TeBr at its relaxed geometry, computed with GGA-PBE.

Calculated values
Its theoretical density is 4.59 g/cm³. Its energy is -47.7 eV for the cell shown. The formation energy without anion corrections comes out at 0.06 eV/atom.

```
Cr2TeBr
1.0
14.615 0.000 0.000
0.000 3.831 0.000
-1.171 0.000 4.026
Cr Te Br
4 2 2
Direct
0.000 0.000 0.000
0.183 0.000 0.681
0.500 0.500 0.000
0.683 0.500 0.681
0.146 0.500 0.145
0.646 0.000 0.145
0.374 0.000 0.864
0.874 0.500 0.864
```


No. 11
Crystalline CrTe2Br at its relaxed geometry, computed with GGA-PBE.

Calculated values
Its theoretical density is 5.15 g/cm³. Its energy is -16.7 eV for the cell shown. The formation energy without anion corrections comes out at 0.23 eV/atom.

```
CrTe2Br
1.0
4.165 0.000 0.000
0.000 4.165 0.000
0.000 0.000 7.201
Cr Te Br
1 2 1
Direct
0.000 0.000 0.000
0.000 0.500 0.500
0.500 0.000 0.500
0.500 0.500 0.000
```


No. 12
Crystalline Cr2TeBr at its relaxed geometry, computed with GGA-PBE.

Calculated values
Its theoretical density is 4.68 g/cm³. Its energy is -46.2 eV for the cell shown. The formation energy without anion corrections comes out at 0.24 eV/atom.

```
Cr2TeBr
1.0
7.871 0.000 0.000
0.000 7.628 0.000
-1.960 0.000 3.680
Cr Te Br
4 2 2
Direct
0.250 0.250 0.000
0.250 0.750 0.000
0.750 0.250 0.000
0.750 0.750 0.000
0.000 0.000 0.000
0.500 0.500 0.000
0.000 0.500 0.000
0.500 0.000 0.000
```


No. 13
Crystalline Cr2TeBr at its relaxed geometry, computed with GGA-PBE.

Calculated values
Its theoretical density is 5.80 g/cm³. Its energy is -22.8 eV for the cell shown. The formation energy without anion corrections comes out at 0.32 eV/atom.

```
Cr2TeBr
1.0
5.032 0.000 0.000
0.000 5.032 0.000
0.000 0.000 3.521
Cr Te Br
2 1 1
Direct
0.000 0.500 0.000
0.500 0.000 0.000
0.000 0.000 0.500
0.500 0.500 0.500
```


No. 14
Crystalline CrTe2Br at its relaxed geometry, computed with GGA-PBE.

Calculated values
Its theoretical density is 5.52 g/cm³. Its energy is -18.5 eV for the cell shown. The formation energy without anion corrections comes out at -0.23 eV/atom.

```
CrTe2Br
1.0
5.322 0.000 0.000
0.000 4.154 0.000
-1.624 0.000 5.263
Cr Te Br
1 2 1
Direct
0.000 0.000 0.000
0.161 0.500 0.342
0.839 0.500 0.658
0.500 0.000 0.000
```


No. 15
Crystalline Cr3TeBr at its relaxed geometry, computed with GGA-PBE.

Calculated values
Its theoretical density is 3.92 g/cm³. Its energy is -29.7 eV for the cell shown. The formation energy without anion corrections comes out at 0.80 eV/atom.

```
Cr3TeBr
1.0
5.360 0.000 0.000
0.000 5.360 0.000
0.000 0.000 5.360
Cr Te Br
3 1 1
Direct
0.000 0.000 0.500
0.000 0.500 0.000
0.500 0.000 0.000
0.000 0.000 0.000
0.500 0.500 0.500
```


No. 16
Crystalline Cr2TeBr at its relaxed geometry, computed with GGA-PBE.

Calculated values
Its theoretical density is 5.32 g/cm³. Its energy is -70.4 eV for the cell shown. The formation energy without anion corrections comes out at 0.15 eV/atom.

```
Cr2TeBr
1.0
3.406 0.000 0.000
-1.703 2.949 0.000
0.000 0.000 29.028
Cr Te Br
6 3 3
Direct
0.000 0.000 0.000
0.000 0.000 0.267
0.333 0.667 0.667
0.333 0.667 0.934
0.667 0.333 0.333
0.667 0.333 0.601
0.000 0.000 0.729
0.333 0.667 0.396
0.667 0.333 0.063
0.000 0.000 0.541
0.333 0.667 0.207
0.667 0.333 0.874
```


No. 17
Crystalline Cr2TeBr at its relaxed geometry, computed with GGA-PBE.

Calculated values
Its theoretical density is 5.37 g/cm³. Its energy is -71.5 eV for the cell shown. The formation energy without anion corrections comes out at 0.06 eV/atom.

```
Cr2TeBr
1.0
4.077 0.000 0.000
-2.039 3.531 0.000
0.000 0.000 20.088
Cr Te Br
6 3 3
Direct
0.000 0.000 0.245
0.000 0.000 0.755
0.333 0.667 0.421
0.333 0.667 0.912
0.667 0.333 0.088
0.667 0.333 0.579
0.000 0.000 0.500
0.333 0.667 0.167
0.667 0.333 0.833
0.000 0.000 0.000
0.333 0.667 0.667
0.667 0.333 0.333
```


No. 18
Crystalline CrTe2Br at its relaxed geometry, computed with GGA-PBE.

Calculated values
Its theoretical density is 6.05 g/cm³. Its energy is -34.1 eV for the cell shown. The formation energy without anion corrections comes out at 0.13 eV/atom.

```
CrTe2Br
1.0
3.453 0.000 0.000
0.000 5.285 0.000
0.000 0.000 11.645
Cr Te Br
2 4 2
Direct
0.000 0.000 0.000
0.500 0.500 0.500
0.000 0.500 0.317
0.000 0.500 0.683
0.500 0.000 0.183
0.500 0.000 0.817
0.000 0.000 0.500
0.500 0.500 0.000
```


No. 19
Crystalline Cr2TeBr at its relaxed geometry, computed with GGA-PBE.

Calculated values
Its theoretical density is 4.93 g/cm³. Its energy is -23.0 eV for the cell shown. The formation energy without anion corrections comes out at 0.26 eV/atom.

```
Cr2TeBr
1.0
3.764 0.000 0.000
0.000 4.013 0.000
0.000 0.000 6.948
Cr Te Br
2 1 1
Direct
0.000 0.000 0.000
0.000 0.500 0.500
0.500 0.000 0.500
0.500 0.500 0.000
```


No. 20
Crystalline Cr2TeBr at its relaxed geometry, computed with GGA-PBE.

Calculated values
Its theoretical density is 5.26 g/cm³. Its energy is -46.9 eV for the cell shown. The formation energy without anion corrections comes out at 0.15 eV/atom.

```
Cr2TeBr
1.0
3.730 0.000 0.000
0.000 3.808 0.000
0.000 0.000 13.853
Cr Te Br
4 2 2
Direct
0.000 0.000 0.000
0.000 0.500 0.227
0.500 0.000 0.727
0.500 0.500 0.500
0.000 0.500 0.655
0.500 0.000 0.155
0.000 0.000 0.405
0.500 0.500 0.905
```


No. 21
Crystalline CrTe2Br at its relaxed geometry, computed with GGA-PBE.

Calculated values
Its theoretical density is 5.45 g/cm³. Its energy is -34.9 eV for the cell shown. The formation energy without anion corrections comes out at 0.03 eV/atom.

```
CrTe2Br
1.0
3.939 0.000 0.000
0.000 5.264 0.000
0.000 0.000 11.370
Cr Te Br
2 4 2
Direct
0.000 0.000 0.000
0.500 0.500 0.000
0.000 0.000 0.491
0.000 0.500 0.168
0.500 0.000 0.168
0.500 0.500 0.491
0.000 0.500 0.852
0.500 0.000 0.852
```


No. 22
Crystalline CrTe2Br at its relaxed geometry, computed with GGA-PBE.

Calculated values
Its theoretical density is 5.63 g/cm³. Its energy is -47.1 eV for the cell shown. The formation energy without anion corrections comes out at 0.47 eV/atom.

```
CrTe2Br
1.0
3.252 0.000 0.000
-1.626 2.817 0.000
0.000 0.000 37.370
Cr Te Br
3 6 3
Direct
0.000 0.000 0.000
0.333 0.667 0.667
0.667 0.333 0.333
0.000 0.000 0.072
0.000 0.000 0.928
0.333 0.667 0.595
0.333 0.667 0.738
0.667 0.333 0.262
0.667 0.333 0.405
0.000 0.000 0.500
0.333 0.667 0.167
0.667 0.333 0.833
```


No. 23
Crystalline Cr2TeBr at its relaxed geometry, computed with GGA-PBE.

Calculated values
Its theoretical density is 5.05 g/cm³. Its energy is -47.3 eV for the cell shown. The formation energy without anion corrections comes out at 0.10 eV/atom.

```
Cr2TeBr
1.0
5.504 0.000 0.000
0.000 5.420 0.000
0.000 0.000 6.867
Cr Te Br
4 2 2
Direct
0.000 0.000 0.000
0.000 0.500 0.500
0.500 0.000 0.304
0.500 0.500 0.804
0.000 0.000 0.404
0.000 0.500 0.904
0.500 0.000 0.881
0.500 0.500 0.381
```


No. 24
Crystalline Cr3TeBr at its relaxed geometry, computed with GGA-PBE.

Calculated values
Its theoretical density is 4.57 g/cm³. Its energy is -28.9 eV for the cell shown. The formation energy without anion corrections comes out at 0.96 eV/atom.

```
Cr3TeBr
1.0
5.093 0.000 0.000
0.000 5.093 0.000
0.000 0.000 5.093
Cr Te Br
3 1 1
Direct
0.000 0.000 0.500
0.000 0.500 0.000
0.500 0.000 0.000
0.500 0.500 0.500
0.000 0.000 0.000
```


No. 25
Crystalline CrTe2Br at its relaxed geometry, computed with GGA-PBE.

Calculated values
Its theoretical density is 5.34 g/cm³. Its energy is -17.8 eV for the cell shown. The formation energy without anion corrections comes out at -0.06 eV/atom.

```
CrTe2Br
1.0
4.307 0.000 0.000
0.000 3.585 0.000
-1.333 0.000 7.794
Cr Te Br
1 2 1
Direct
0.000 0.000 0.000
0.501 0.500 0.882
0.808 0.000 0.649
0.155 0.500 0.237
```


No. 26
Crystalline CrTe2Br at its relaxed geometry, computed with GGA-PBE.

Calculated values
Its theoretical density is 5.52 g/cm³. Its energy is -17.3 eV for the cell shown. The formation energy without anion corrections comes out at 0.06 eV/atom.

```
CrTe2Br
1.0
3.252 0.000 0.000
0.000 3.252 0.000
0.000 0.000 11.010
Cr Te Br
1 2 1
Direct
0.000 0.000 0.000
0.000 0.000 0.472
0.500 0.500 0.159
0.500 0.500 0.848
```


No. 27
Crystalline CrTe2Br at its relaxed geometry, computed with GGA-PBE.

Calculated values
Its theoretical density is 5.75 g/cm³. Its energy is -33.5 eV for the cell shown. The formation energy without anion corrections comes out at 0.21 eV/atom.

```
CrTe2Br
1.0
6.148 0.000 0.000
0.000 8.529 0.000
-3.065 0.000 4.266
Cr Te Br
2 4 2
Direct
0.000 0.000 0.000
0.500 0.500 0.000
0.250 0.250 0.500
0.250 0.750 0.500
0.750 0.250 0.500
0.750 0.750 0.500
0.000 0.500 0.000
0.500 0.000 0.000
```


No. 28
Crystalline Th2CrTe2Br4 at its relaxed geometry, computed with GGA-PBE.

Calculated values
Its theoretical density is 6.14 g/cm³. Its energy is -46.2 eV for the cell shown. The formation energy without anion corrections comes out at -0.97 eV/atom.

```
Th2CrTe2Br4
1.0
3.776 0.000 0.000
-1.888 3.270 0.000
0.000 0.000 23.911
Th Cr Te Br
2 1 2 4
Direct
0.000 0.000 0.000
0.333 0.667 0.343
0.333 0.667 0.681
0.000 0.000 0.611
0.000 0.000 0.750
0.000 0.000 0.254
0.000 0.000 0.431
0.333 0.667 0.089
0.333 0.667 0.912
```


No. 29
Crystalline TlCrTeBr2 at its relaxed geometry, computed with GGA-PBE.

Calculated values
Its theoretical density is 6.09 g/cm³. Its energy is -20.4 eV for the cell shown. The formation energy without anion corrections comes out at -0.38 eV/atom.

```
TlCrTeBr2
1.0
5.211 0.000 0.000
0.000 5.211 0.000
0.000 0.000 5.457
Tl Cr Te Br
1 1 1 2
Direct
0.000 0.000 0.000
0.500 0.500 0.500
0.500 0.500 0.000
0.000 0.500 0.500
0.500 0.000 0.500
```


No. 30
Crystalline YCrTeBr2 at its relaxed geometry, computed with GGA-PBE.

Calculated values
Its theoretical density is 3.93 g/cm³. Its energy is -25.3 eV for the cell shown. The formation energy without anion corrections comes out at -0.55 eV/atom.

```
YCrTeBr2
1.0
5.442 0.000 0.000
0.000 5.442 0.000
0.000 0.000 6.111
Y Cr Te Br
1 1 1 2
Direct
0.000 0.000 0.000
0.500 0.500 0.500
0.000 0.000 0.500
0.000 0.500 0.000
0.500 0.000 0.000
```